#A
First-principles (PBE-GGA) data for SmPuHgRu after structural relaxation, as listed in Alexandria.

It has space group P4mm (No. 99), with a = 3.375 Å, b = 3.375 Å, c = 8.218 Å, α = 90.00°, β = 90.00° and γ = 90.00°. The inequivalent atoms are Sm at (0.000, 0.000, 0.000), Pu at (0.000, 0.000, 0.575), Hg at (0.500, 0.500, 0.287) and Ru at (0.500, 0.500, 0.778).

Its crystal system is tetragonal. The density of states at the Fermi level is 8.48 states/eV/f.u.

=====

#B
First-principles (PBE-GGA) data for SmPuHgRu after structural relaxation, as listed in Alexandria.

It has space group F-43m (No. 216), with a = 7.200 Å, b = 7.200 Å, c = 7.200 Å, α = 90.00°, β = 90.00° and γ = 90.00°. The inequivalent atoms are Sm at (0.000, 0.000, 0.000), Pu at (0.000, 0.000, 0.500), Hg at (0.250, 0.250, 0.250) and Ru at (0.250, 0.250, 0.750).

Its crystal system is cubic. The density of states at the Fermi level is 11.53 states/eV/f.u.

=====

List of relative energies, unit meV/atom: #A 0; #B 149

=====

#A
First-principles (PBE-GGA) data for Pu3HgS6 after structural relaxation, as listed in Alexandria.

It has space group P2_1/m (No. 11), with a = 8.560 Å, b = 5.302 Å, c = 13.158 Å, α = 90.00°, β = 102.91° and γ = 90.00°. The inequivalent atoms are Pu at (0.096, 0.250, 0.418), Pu at (0.154, 0.250, 0.106), Pu at (0.342, 0.750, 0.919), Hg at (0.339, 0.250, 0.640), S at (0.075, 0.750, 0.775), S at (0.108, 0.750, 0.458), S at (0.135, 0.750, 0.053), S at (0.327, 0.250, 0.320), S at (0.353, 0.250, 0.954) and S at (0.479, 0.250, 0.220).

Its crystal system is monoclinic. The density of states at the Fermi level is 27.28 states/eV/f.u.

=====

#B
First-principles (PBE-GGA) data for Pu3HgS6 after structural relaxation, as listed in Alexandria.

It has space group Cmc2_1 (No. 36), with a = 10.731 Å, b = 13.360 Å, c = 6.626 Å, α = 90.00°, β = 90.00° and γ = 90.00°. The inequivalent atoms are Pu at (0.000, 0.103, 0.000), Pu at (0.182, 0.398, 0.927), Hg at (0.000, 0.300, 0.389), S at (0.000, 0.279, 0.761), S at (0.000, 0.474, 0.202), S at (0.162, 0.027, 0.717) and S at (0.182, 0.226, 0.174).

Its crystal system is orthorhombic. The density of states at the Fermi level is 25.86 states/eV/f.u.

=====

List of relative energies, unit meV/atom: #A 130; #B 0

=====

#A
First-principles (PBE-GGA) data for PuHgSb after structural relaxation, as listed in Alexandria.

It has space group Cmcm (No. 63), with a = 5.204 Å, b = 15.832 Å, c = 3.532 Å, α = 90.00°, β = 90.00° and γ = 90.00°. The inequivalent atoms are Pu at (0.000, 0.047, 0.250), Hg at (0.000, 0.223, 0.750) and Sb at (0.000, 0.415, 0.250).

Its crystal system is orthorhombic. The density of states at the Fermi level is 3.97 states/eV/f.u.

=====

#B
First-principles (PBE-GGA) data for PuHgSb after structural relaxation, as listed in Alexandria.

It has space group F-43m (No. 216), with a = 7.244 Å, b = 7.244 Å, c = 7.244 Å, α = 90.00°, β = 90.00° and γ = 90.00°. The inequivalent atoms are Pu at (0.000, 0.000, 0.000), Hg at (0.250, 0.250, 0.750) and Sb at (0.250, 0.250, 0.250).

Its crystal system is cubic. The density of states at the Fermi level is 13.11 states/eV/f.u.

=====

#C
First-principles (PBE-GGA) data for PuHgSb after structural relaxation, as listed in Alexandria.

It has space group P-6m2 (No. 187), with a = 5.2511 Å, b = 5.2511 Å, c = 3.2221 Å, α = 90.00°, β = 90.00° and γ = 120.00°. The inequivalent atoms are Pu at (0.0000, 0.0000, 0.0000), Hg at (0.6667, 0.3333, 0.5000) and Sb at (0.3333, 0.6667, 0.5000).

Its crystal system is hexagonal. The density of states at the Fermi level is 9.50 states/eV/f.u.

=====

List of relative energies, unit meV/atom: #A 245; #B 56; #C 0